# Tb3CeTm4

A relaxed structure of Tb3CeTm4 (GGA-PBE, Alexandria via LeMat-Bulk).

Structure (POSCAR):
```
Tb3CeTm4
1.0
6.0933 0.0000 0.0000
0.0000 3.5155 0.0000
-2.0419 0.0000 11.4492
Tb Ce Tm
3 1 4
Cartesian
0.0000 0.0000 0.0000
-1.0210 1.7578 5.7246
2.0257 0.0000 5.7246
3.0466 1.7578 0.0000
0.0091 0.0000 8.6056
1.0308 1.7578 2.8587
4.0422 0.0000 2.8436
3.0206 1.7578 8.5905
```

Space-group type   P2/m (10)
Size of the total moment   0.77 μB/f.u.
E   -4.6735 eV/atom
Formation enthalpy at 0 K   0.04 eV per atom